1.
A geometry-optimized Dy4CdSn structure. Source: Alexandria, functional GGA-PBE.

Output
Theoretical density   7.714 Mg/m³
Energy of formation from the pure elements   -15.2 kJ per mole of atoms

a b c (Å): 5.377 21.693 6.504
angles (deg): 90.00 90.00 90.00
Space group Cmc2_1 (No. 36)
Asymmetric unit:
Dy  0.000  0.064  0.000 (multiplicity 4)
Dy  0.000  0.204  0.245 (multiplicity 4)
Dy  0.000  0.204  0.756 (multiplicity 4)
Dy  0.000  0.369  0.001 (multiplicity 4)
Cd  0.000  0.074  0.500 (multiplicity 4)
Sn  0.000  0.342  0.501 (multiplicity 4)


2.
A geometry-optimized DyTlCdSn structure. Source: Alexandria, functional GGA-PBE.

Output
Theoretical density   9.763 Mg/m³
Energy of formation from the pure elements   -34.4 kJ per mole of atoms

a b c (Å): 4.491 4.632 4.889
angles (deg): 90.00 90.00 90.00
Space group Pmmm (No. 47)
Asymmetric unit:
Dy  0.000  0.000  0.000 (multiplicity 1)
Tl  0.500  0.000  0.500 (multiplicity 1)
Cd  0.000  0.500  0.500 (multiplicity 1)
Sn  0.500  0.500  0.000 (multiplicity 1)


3.
A geometry-optimized DyYCdSn structure. Source: Alexandria, functional GGA-PBE.

Output
Theoretical density   7.667 Mg/m³
Energy of formation from the pure elements   -49.2 kJ per mole of atoms

a b c (Å): 7.477 7.477 7.477
angles (deg): 90.00 90.00 90.00
Space group F-43m (No. 216)
Asymmetric unit:
Dy  0.000  0.000  0.000 (multiplicity 4)
Y  0.000  0.000  0.500 (multiplicity 4)
Cd  0.250  0.250  0.250 (multiplicity 4)
Sn  0.250  0.250  0.750 (multiplicity 4)


4.
A geometry-optimized DyZnCdSn structure. Source: Alexandria, functional GGA-PBE.

Output
Theoretical density   8.476 Mg/m³
Energy of formation from the pure elements   -37.8 kJ per mole of atoms

a b c (Å): 4.378 4.434 4.633
angles (deg): 90.00 90.00 90.00
Space group Pmmm (No. 47)
Asymmetric unit:
Dy  0.000  0.000  0.000 (multiplicity 1)
Zn  0.500  0.000  0.500 (multiplicity 1)
Cd  0.000  0.500  0.500 (multiplicity 1)
Sn  0.500  0.500  0.000 (multiplicity 1)